Material: ZnAg2W
Method: DFT, GGA-PBE
State: relaxed

Symmetry: No. 47
E_tot, eV per atom: -4.47

abc: 2.7633 4.8580 4.9584
angles: 90.00 90.00 90.00
Closest atoms and distances in Å follow each position.
Fractional positions:
W (0.5000, 0.0000, 0.5000)  2 W 2.76, 4 Zn 2.79, 4 Ag 2.84
Zn (0.0000, 0.5000, 0.5000)  2 Zn 2.76, 4 W 2.79, 4 Ag 2.84
Ag (0.5000, 0.5000, 0.0000)  6 Ag 2.76-2.79, 4 Zn 2.84
Ag (0.0000, 0.0000, 0.0000)  6 Ag 2.76-2.79, 4 W 2.84